# NaTmCrF6, relaxed, DFT GGA+U
data_NaTmCrF6
_symmetry_space_group_name_H-M 'P 1'
_symmetry_Int_Tables_number 1
_symmetry_space_group_name_Hall 'P 1'
_cell_length_a 5.717
_cell_length_b 5.717
_cell_length_c 9.594
_cell_angle_alpha 90.00
_cell_angle_beta 90.00
_cell_angle_gamma 120.00
loop_
_atom_site_label
_atom_site_fract_x
_atom_site_fract_y
_atom_site_fract_z
_atom_site_occupancy
Na1 0.000 0.000 0.000 1
Na2 0.000 0.000 0.500 1
Tm1 0.333 0.667 0.250 1
Tm2 0.667 0.333 0.750 1
Cr1 0.333 0.667 0.750 1
Cr2 0.667 0.333 0.250 1
F1 0.002 0.355 0.636 1
F2 0.002 0.647 0.864 1
F3 0.353 0.355 0.864 1
F4 0.353 0.998 0.636 1
F5 0.355 0.002 0.136 1
F6 0.355 0.353 0.364 1
F7 0.645 0.647 0.636 1
F8 0.645 0.998 0.864 1
F9 0.647 0.002 0.364 1
F10 0.647 0.645 0.136 1
F11 0.998 0.353 0.136 1
F12 0.998 0.645 0.364 1
# E_tot (eV per atom): -5.924
# Space group: P-31c